Below is crystalline La5Zn4Hg at its relaxed geometry, with properties calculated at the PBE-GGA level.

a b c (Å): 3.7952 3.7952 18.9100
angles (deg): 90.00 90.00 90.00
Fractional positions:
La (0.0000, 0.0000, 0.0000)
La (0.0000, 0.0000, 0.1977)
La (0.0000, 0.0000, 0.3899)
La (0.0000, 0.0000, 0.6101)
La (0.0000, 0.0000, 0.8023)
Zn (0.5000, 0.5000, 0.0992)
Zn (0.5000, 0.5000, 0.2933)
Zn (0.5000, 0.5000, 0.7067)
Zn (0.5000, 0.5000, 0.9008)
Hg (0.5000, 0.5000, 0.5000)

Energy of formation from the pure elements = -3.507 eV/f.u.